Crystalline CoGeAsO at its relaxed geometry, computed with PBE+U.

Cell: 3.8123 6.2187 5.6590 Å, 90.00 90.00 90.00°
Last column: magnetic moment on the atom in μB.
Sites, in units of the cell vectors:
1 As 0.0000 0.8404 0.3772  -0.01
2 As 0.0000 0.1596 0.8772  -0.01
3 Co 0.0000 0.2196 0.4598  1.95
4 Co 0.0000 0.7804 0.9598  1.96
5 Ge 0.5000 0.3545 0.0364  0.01
6 Ge 0.5000 0.6455 0.5364  0.01
7 O 0.5000 0.3717 0.3806  0.02
8 O 0.5000 0.6283 0.8806  0.02

Summary:
- crystal system = orthorhombic
- space group = No. 26
- volume (Å³/cell) = 134.2
- E (eV/atom) = -5.0919